1.
DFT (PBE-GGA) results for an optimized crystal structure of YCd2Os.

## Properties
* DFT total energy: -18.86 eV/cell
* space-group type: I-4m2 (119)
* density of states at the Fermi level: 2.4 states/eV/cell
* formation energy: 16 kJ per mole of atoms
* volume: 20.51 Å³/atom

Unit cell a=5.1576 b=5.1576 c=5.1576 alpha=128.34 beta=128.34 gamma=76.08
Closest atoms and distances in Å follow each position.
Element x y z (fractional)
Os 0.5000 0.5000 0.0000  4 Y 3.03, 8 Cd 3.03-3.18
Cd 0.2500 0.7500 0.5000  4 Cd 3.03, 4 Os 3.03, 4 Y 3.18
Cd 0.0000 0.0000 0.0000  4 Cd 3.03, 4 Y 3.03, 4 Os 3.18
Y 0.7500 0.2500 0.5000  4 Os 3.03, 8 Cd 3.03-3.18

***

2.
DFT (PBE-GGA) results for an optimized crystal structure of ZnHgPCl2.

## Properties
* excess energy over the best structure of this formula in the dataset: 0.00 eV/f.u.
* DFT total energy: -10.38 eV/cell
* space-group type: P4/mmm (123)
* density of states at the Fermi level: 2.1 states/eV/cell
* volume: 23.70 Å³/atom
* energy relative to the elements, uncorrected: 0.06 eV/atom

Unit cell a=4.7907 b=4.7907 c=5.1621 alpha=90.00 beta=90.00 gamma=90.00
Closest atoms and distances in Å follow each position.
Element x y z (fractional)
Cl 0.0000 0.5000 0.0000  2 Zn 2.40
Hg 0.5000 0.5000 0.5000  4 P 3.39, 8 Cl 3.52
Cl 0.5000 0.0000 0.0000  2 Zn 2.40
P 0.0000 0.0000 0.5000  2 Zn 2.58
Zn 0.0000 0.0000 0.0000  4 Cl 2.40, 2 P 2.58

***

3.
DFT (PBE-GGA) results for an optimized crystal structure of Sm4H.

## Properties
* DFT total energy: -23.09 eV/cell
* space-group type: Pm-3m (221)
* density of states at the Fermi level: 4.8 states/eV/cell
* volume: 26.62 Å³/atom

Unit cell a=5.1056 b=5.1056 c=5.1056 alpha=90.00 beta=90.00 gamma=90.00
Closest atoms and distances in Å follow each position.
Element x y z (fractional)
Sm 0.0000 0.5000 0.5000  2 H 2.55
Sm 0.5000 0.5000 0.0000  2 H 2.55
Sm 0.0000 0.0000 0.0000  12 Sm 3.61
Sm 0.5000 0.0000 0.5000  2 H 2.55
H 0.5000 0.5000 0.5000  6 Sm 2.55

***

4.
DFT (PBE-GGA) results for an optimized crystal structure of Nd5Sm3Rh2.

## Properties
* DFT total energy: -109.96 eV/cell
* space-group type: Ibam (72)
* density of states at the Fermi level: 26.0 states/eV/cell
* formation energy: -22 kJ per mole of atoms
* volume: 32.63 Å³/atom

Unit cell a=8.0105 b=10.1452 c=10.1452 alpha=63.32 beta=66.75 gamma=66.75
Closest atoms and distances in Å follow each position.
Element x y z (fractional)
Rh 0.8681 0.1305 0.1332  3 Sm 2.77-2.84, 3 Nd 2.79-2.81
Nd 0.9907 0.2593 0.2593  2 Rh 2.79
Sm 0.6238 0.6146 0.1378  1 Rh 2.77
Nd 0.5093 0.7407 0.7407  2 Rh 2.79
Nd 0.4907 0.2593 0.2593  2 Rh 2.79
Nd 0.0093 0.7407 0.7407  2 Rh 2.79
Sm 0.3762 0.3854 0.8622  1 Rh 2.77
Nd 0.3774 0.8604 0.3848  1 Rh 2.81
Sm 0.1238 0.1378 0.6146  1 Rh 2.77
Sm 0.7500 0.0000 0.0000  4 Rh 2.84
Sm 0.8762 0.8622 0.3854  1 Rh 2.77
Rh 0.6319 0.8668 0.8695  3 Sm 2.77-2.84, 3 Nd 2.79-2.81
Nd 0.2500 0.5000 0.5000  8 Nd 3.68-4.01, 4 Sm 3.75
Nd 0.1226 0.6152 0.1396  1 Rh 2.81
Sm 0.2500 0.0000 0.0000  4 Rh 2.84
Nd 0.8774 0.3848 0.8604  1 Rh 2.81
Nd 0.7500 0.5000 0.5000  8 Nd 3.68-4.01, 4 Sm 3.75
Rh 0.1319 0.8695 0.8668  3 Sm 2.77-2.84, 3 Nd 2.79-2.81
Nd 0.6226 0.1396 0.6152  1 Rh 2.81
Rh 0.3681 0.1332 0.1305  3 Sm 2.77-2.84, 3 Nd 2.79-2.81

***

5.
DFT (PBE-GGA) results for an optimized crystal structure of MgSn5Ir3.

## Properties
* DFT total energy: -99.68 eV/cell
* space-group type: C2/m (12)
* density of states at the Fermi level: 5.3 states/eV/cell
* formation energy: -18 kJ per mole of atoms
* volume: 24.96 Å³/atom

Unit cell a=7.3763 b=7.3763 c=9.7764 alpha=67.26 beta=67.26 gamma=75.55
Closest atoms and distances in Å follow each position.
Element x y z (fractional)
Ir 0.0000 0.0000 0.5000  4 Sn 2.60, 2 Mg 2.65
Sn 0.0524 0.6289 0.6646  3 Ir 2.60-2.68
Ir 0.6544 0.6544 0.3355  5 Sn 2.61-2.63, 1 Mg 2.73
Mg 0.1011 0.1011 0.6912  3 Ir 2.65-2.73
Sn 0.2344 0.2344 0.9722  3 Ir 2.61-2.63
Sn 0.5813 0.5813 0.6363  3 Ir 2.61-2.63
Ir 0.3303 0.3303 0.1647  6 Sn 2.61-2.68
Sn 0.7121 0.2879 0.0000  3 Ir 2.60-2.66
Ir 0.3456 0.3456 0.6645  5 Sn 2.61-2.63, 1 Mg 2.73
Sn 0.2879 0.7121 0.0000  3 Ir 2.60-2.66
Sn 0.3711 0.9476 0.3354  3 Ir 2.60-2.68
Sn 0.9476 0.3711 0.3354  3 Ir 2.60-2.68
Sn 0.7656 0.7656 0.0278  3 Ir 2.61-2.63
Ir 0.6697 0.6697 0.8353  6 Sn 2.61-2.68
Mg 0.8989 0.8989 0.3088  3 Ir 2.65-2.73
Sn 0.6289 0.0524 0.6646  3 Ir 2.60-2.68
Ir 0.0000 0.0000 0.0000  4 Sn 2.60-2.61, 2 Mg 2.65
Sn 0.4187 0.4187 0.3637  3 Ir 2.61-2.63

***

6.
DFT (PBE-GGA) results for an optimized crystal structure of RbAs2CBr.

## Properties
* DFT total energy: -18.45 eV/cell
* space-group type: P4/mmm (123)
* density of states at the Fermi level: 2.9 states/eV/cell
* volume: 35.11 Å³/atom
* energy relative to the elements, uncorrected: 0.54 eV/atom

Unit cell a=4.3428 b=4.3428 c=9.3077 alpha=90.00 beta=90.00 gamma=90.00
Closest atoms and distances in Å follow each position.
Element x y z (fractional)
Rb 0.5000 0.5000 0.5000  4 Br 3.07
Br 0.0000 0.0000 0.5000  4 Rb 3.07
As 0.0000 0.5000 0.0000  2 C 2.17
C 0.0000 0.0000 0.0000  4 As 2.17
As 0.5000 0.0000 0.0000  2 C 2.17

***

Question: Which value of DFT total energy does entry 5 give?
Answer: -99.68 eV/cell

***

Question: The highest volume belongs to which entry?
Answer: RbAs2CBr

***

Question: Which formula does entry 3 have?
Answer: Sm4H

***

Question: Look up the DFT total energy of the second one.
Answer: -10.38 eV/cell